This record from the Alexandria database describes a relaxed SrZr2Au crystal. The functional is PBE-GGA.

Density of states at the Fermi level (states/eV/f.u.): 4.1
Energy relative to the lowest polymorph listed for this composition (kJ/mol of formula units): 101
Symmetry: No. 8
Crystal system: monoclinic
Total energy (eV/atom): -5.444
ΔE_f (eV/atom): 0.0701

Cell: 5.514 5.514 6.350 Å, 77.84 77.84 35.14°
Fractional positions:
Au: 0.478 0.478 0.538
Sr: 0.231 0.231 0.287
Zr: 0.025 0.025 0.896
Zr: 0.766 0.766 0.778

***

This record from the Alexandria database describes a relaxed NiPdS3 crystal. The functional is PBE-GGA.

Density of states at the Fermi level (states/eV/f.u.): 6.8
Energy relative to the lowest polymorph listed for this composition (kJ/mol of formula units): 497
Symmetry: No. 221
E_form (uncorrected) (kJ/mol of formula units): 451.1
Crystal system: cubic
Total energy (eV/atom): -3.736

Cell: 4.647 4.647 4.647 Å, 90.00 90.00 90.00°
Last column: magnetic moment on the atom in μB.
Fractional positions:
Ni: 0.500 0.500 0.500  1.17
S: 0.000 0.500 0.000  0.35
S: 0.000 0.000 0.500  0.23
S: 0.500 0.000 0.000  0.34
Pd: 0.000 0.000 0.000  0.08

***

This record from the Alexandria database describes a relaxed Li3BiSb2 crystal. The functional is PBE-GGA.

Density of states at the Fermi level (states/eV/f.u.): 1.5
Symmetry: No. 123
E_form (uncorrected) (kJ/mol of formula units): -230.5
Crystal system: tetragonal
Total energy (eV/atom): -3.376

Cell: 3.262 3.262 12.704 Å, 90.00 90.00 90.00°
Fractional positions:
Li: 0.000 0.000 0.000
Li: 0.000 0.000 0.677
Li: 0.000 0.000 0.323
Bi: 0.500 0.500 0.500
Sb: 0.500 0.500 0.836
Sb: 0.500 0.500 0.164

***

This record from the Alexandria database describes a relaxed MgBiF3 crystal. The functional is PBE-GGA.

Density of states at the Fermi level (states/eV/f.u.): 2.6
Energy relative to the lowest polymorph listed for this composition (kJ/mol of formula units): 0
Symmetry: No. 221
E_form (uncorrected) (kJ/mol of formula units): -1084.4
Crystal system: cubic
Total energy (eV/atom): -4.466

Cell: 4.163 4.163 4.163 Å, 90.00 90.00 90.00°
Fractional positions:
Mg: 0.000 0.000 0.000
Bi: 0.500 0.500 0.500
F: 0.000 0.500 0.000
F: 0.000 0.000 0.500
F: 0.500 0.000 0.000

***

This record from the Alexandria database describes a relaxed CePr10Nd6 crystal. The functional is PBE-GGA.

Density of states at the Fermi level (states/eV/f.u.): 30.2
Symmetry: No. 162
Crystal system: trigonal
Total energy (eV/atom): -4.703
ΔE_f (eV/atom): 0.1400

Cell: 7.073 10.017 10.017 Å, 120.00 90.00 90.00°
Last column: magnetic moment on the atom in μB.
Fractional positions:
Ce: 0.500 0.000 0.000  0.83
Pr: 0.810 0.732 0.732  0.00
Pr: 0.810 0.000 0.268  0.00
Pr: 0.810 0.268 0.000  0.00
Pr: 0.190 0.268 0.268  0.00
Pr: 0.190 0.000 0.732  0.00
Pr: 0.190 0.732 0.000  0.00
Pr: 0.500 0.333 0.667  0.01
Pr: 0.500 0.667 0.333  0.01
Pr: 0.000 0.667 0.333  -0.01
Pr: 0.000 0.333 0.667  -0.01
Nd: 0.701 0.376 0.376  0.00
Nd: 0.701 0.000 0.624  0.00
Nd: 0.701 0.624 0.000  0.00
Nd: 0.299 0.624 0.624  0.00
Nd: 0.299 0.000 0.376  0.00
Nd: 0.299 0.376 0.000  0.00

***

This record from the Alexandria database describes a relaxed Cs2TiIr2 crystal. The functional is PBE-GGA.

Density of states at the Fermi level (states/eV/f.u.): 4.0
Symmetry: No. 127
Crystal system: tetragonal
Total energy (eV/atom): -4.904
ΔE_f (eV/atom): 0.5603

Cell: 6.606 6.606 6.226 Å, 90.00 90.00 90.00°
Last column: magnetic moment on the atom in μB.
Fractional positions:
Cs: 0.181 0.681 0.500  0.03
Cs: 0.681 0.819 0.500  0.03
Cs: 0.819 0.319 0.500  0.03
Cs: 0.319 0.181 0.500  0.03
Ir: 0.365 0.865 0.000  -0.11
Ir: 0.865 0.635 0.000  -0.12
Ir: 0.635 0.135 0.000  -0.11
Ir: 0.135 0.365 0.000  -0.12
Ti: 0.000 0.000 0.000  0.42
Ti: 0.500 0.500 0.000  0.41

***

This record from the Alexandria database describes a relaxed SmDy4Ho3 crystal. The functional is PBE-GGA.

Density of states at the Fermi level (states/eV/f.u.): 12.8
Energy relative to the lowest polymorph listed for this composition (kJ/mol of formula units): 160
Symmetry: No. 65
Crystal system: orthorhombic
Total energy (eV/atom): -4.392
ΔE_f (eV/atom): 0.2157

Cell: 5.627 3.546 13.316 Å, 89.99 102.19 90.00°
Fractional positions:
Ho: 0.000 0.500 0.000
Ho: 0.845 0.000 0.689
Ho: 0.155 0.000 0.311
Sm: 0.500 0.000 0.000
Dy: 0.605 0.500 0.209
Dy: 0.395 0.500 0.791
Dy: 0.276 0.499 0.552
Dy: 0.724 0.501 0.448

***

This record from the Alexandria database describes a relaxed InPRh2 crystal. The functional is PBE-GGA.

Density of states at the Fermi level (states/eV/f.u.): 2.0
Symmetry: No. 47
Crystal system: orthorhombic
Total energy (eV/atom): -6.062
ΔE_f (eV/atom): -0.3497

Cell: 3.479 3.597 5.650 Å, 89.99 90.00 90.00°
Fractional positions:
In: 0.500 0.500 0.000
P: 0.500 0.000 0.500
Rh: 0.000 0.000 0.749
Rh: 0.000 0.000 0.251

***

This record from the Alexandria database describes a relaxed VZnOs3 crystal. The functional is PBE-GGA.

Density of states at the Fermi level (states/eV/f.u.): 5.6
Energy relative to the lowest polymorph listed for this composition (kJ/mol of formula units): 0
Symmetry: No. 221
Crystal system: cubic
Total energy (eV/atom): -7.145
ΔE_f (eV/atom): 1.6717

Cell: 4.484 4.484 4.484 Å, 90.00 90.00 90.00°
Last column: magnetic moment on the atom in μB.
Fractional positions:
Zn: 0.500 0.500 0.500  -0.01
Os: 0.000 0.500 0.000  0.21
Os: 0.000 0.000 0.500  0.21
Os: 0.500 0.000 0.000  0.21
V: 0.000 0.000 0.000  -0.04

***

This record from the Alexandria database describes a relaxed RbPdIBr2 crystal. The functional is PBE-GGA.

Density of states at the Fermi level (states/eV/f.u.): 2.3
Symmetry: No. 123
E_form (uncorrected) (kJ/mol of formula units): -389.3
Crystal system: tetragonal
Total energy (eV/atom): -3.018

Cell: 5.332 5.332 5.573 Å, 90.00 90.00 90.00°
Fractional positions:
I: 0.000 0.000 0.500
Br: 0.000 0.500 0.000
Br: 0.500 0.000 0.000
Rb: 0.500 0.500 0.500
Pd: 0.000 0.000 0.000

***

This record from the Alexandria database describes a relaxed ThMgGaPt crystal. The functional is PBE-GGA.

Density of states at the Fermi level (states/eV/f.u.): 3.1
Energy relative to the lowest polymorph listed for this composition (kJ/mol of formula units): 0
Symmetry: No. 216
Crystal system: cubic
Total energy (eV/atom): -5.222
ΔE_f (eV/atom): -0.7011

Cell: 4.946 4.946 4.946 Å, 60.00 60.00 60.00°
Fractional positions:
Mg: 0.000 0.000 0.000
Ga: 0.250 0.250 0.250
Pt: 0.750 0.750 0.750
Th: 0.500 0.500 0.500

***

This record from the Alexandria database describes a relaxed NaLi2Hg6 crystal. The functional is PBE-GGA.

Density of states at the Fermi level (states/eV/f.u.): 4.1
Energy relative to the lowest polymorph listed for this composition (kJ/mol of formula units): 0
Symmetry: No. 191
Crystal system: hexagonal
Total energy (eV/atom): -0.981
ΔE_f (eV/atom): -0.2081

Cell: 3.151 8.741 8.741 Å, 120.00 90.00 90.00°
Fractional positions:
Na: 0.000 0.000 0.000
Li: 0.000 0.333 0.667
Li: 0.000 0.667 0.333
Hg: 0.500 0.336 0.336
Hg: 0.500 0.664 0.664
Hg: 0.500 0.000 0.664
Hg: 0.500 0.664 0.000
Hg: 0.500 0.336 0.000
Hg: 0.500 0.000 0.336

***

This record from the Alexandria database describes a relaxed LiYCu3 crystal. The functional is PBE-GGA.

Density of states at the Fermi level (states/eV/f.u.): 2.7
Energy relative to the lowest polymorph listed for this composition (kJ/mol of formula units): 0
Symmetry: No. 221
Crystal system: cubic
Total energy (eV/atom): -3.997
ΔE_f (eV/atom): 0.1359

Cell: 4.350 4.350 4.350 Å, 90.00 90.00 90.00°
Fractional positions:
Y: 0.500 0.500 0.500
Cu: 0.000 0.500 0.000
Cu: 0.000 0.000 0.500
Cu: 0.500 0.000 0.000
Li: 0.000 0.000 0.000

***

This record from the Alexandria database describes a relaxed CrSnN2 crystal. The functional is PBE-GGA.

Density of states at the Fermi level (states/eV/f.u.): 1.6
Symmetry: No. 38
E_form (uncorrected) (kJ/mol of formula units): 80.2
Crystal system: orthorhombic
Total energy (eV/atom): -7.361

Cell: 2.847 3.796 10.212 Å, 90.00 90.00 90.00°
Fractional positions:
Cr: 0.500 0.000 0.039
Cr: 0.500 0.500 0.539
Sn: 0.500 0.000 0.758
Sn: 0.500 0.500 0.258
N: 0.000 0.667 0.998
N: 0.000 0.333 0.998
N: 0.000 0.167 0.498
N: 0.000 0.833 0.498

***

This record from the Alexandria database describes a relaxed YBiRu3 crystal. The functional is PBE-GGA.

Density of states at the Fermi level (states/eV/f.u.): 6.0
Energy relative to the lowest polymorph listed for this composition (kJ/mol of formula units): 0
Symmetry: No. 221
Crystal system: cubic
Total energy (eV/atom): -6.450
ΔE_f (eV/atom): 1.1841

Cell: 4.928 4.928 4.928 Å, 90.00 90.00 90.00°
Fractional positions:
Y: 0.500 0.500 0.500
Ru: 0.000 0.500 0.000
Ru: 0.000 0.000 0.500
Ru: 0.500 0.000 0.000
Bi: 0.000 0.000 0.000

***

This record from the Alexandria database describes a relaxed Sc2CdCo crystal. The functional is PBE-GGA.

Density of states at the Fermi level (states/eV/f.u.): 3.0
Symmetry: No. 123
Crystal system: tetragonal
Total energy (eV/atom): -5.349
ΔE_f (eV/atom): -0.1780

Cell: 4.687 4.695 5.804 Å, 35.99 90.00 90.00°
Last column: magnetic moment on the atom in μB.
Fractional positions:
Cd: 0.500 0.500 0.500  -0.01
Co: 0.000 0.000 0.500  0.89
Sc: 0.000 0.000 0.000  -0.14
Sc: 0.500 0.500 0.000  -0.14

***

This record from the Alexandria database describes a relaxed CaZr3Ga crystal. The functional is PBE-GGA.

Density of states at the Fermi level (states/eV/f.u.): 8.4
Energy relative to the lowest polymorph listed for this composition (kJ/mol of formula units): 562
Symmetry: No. 221
Crystal system: cubic
Total energy (eV/atom): -4.575
ΔE_f (eV/atom): 1.5596

Cell: 5.034 5.034 5.034 Å, 90.00 90.00 90.00°
Last column: magnetic moment on the atom in μB.
Fractional positions:
Ca: 0.000 0.000 0.000  0.06
Ga: 0.500 0.500 0.500  -0.01
Zr: 0.000 0.500 0.000  0.23
Zr: 0.000 0.000 0.500  0.12
Zr: 0.500 0.000 0.000  0.25

***

This record from the Alexandria database describes a relaxed Ni2RuCl crystal. The functional is PBE-GGA.

Density of states at the Fermi level (states/eV/f.u.): 6.9
Energy relative to the lowest polymorph listed for this composition (kJ/mol of formula units): 117
Symmetry: No. 35
E_form (uncorrected) (kJ/mol of formula units): 221.1
Crystal system: orthorhombic
Total energy (eV/atom): -5.098

Cell: 2.791 2.791 8.113 Å, 90.00 90.00 119.84°
Last column: magnetic moment on the atom in μB.
Fractional positions:
Cl: 0.500 0.500 0.765  0.05
Ni: 0.000 0.000 0.999  0.51
Ni: 0.500 0.500 0.242  0.63
Ru: 0.000 0.000 0.493  0.71

***

This record from the Alexandria database describes a relaxed Na2CaAuC crystal. The functional is PBE-GGA.

Density of states at the Fermi level (states/eV/f.u.): 1.7
Symmetry: No. 123
Crystal system: tetragonal
Total energy (eV/atom): -2.370
ΔE_f (eV/atom): 1.0586

Cell: 5.300 5.735 5.300 Å, 90.00 90.00 90.00°
Last column: magnetic moment on the atom in μB.
Fractional positions:
Na: 0.000 0.000 0.500  -0.02
Na: 0.500 0.000 0.000  -0.04
Ca: 0.000 0.500 0.000  -0.06
Au: 0.000 0.000 0.000  -0.05
C: 0.500 0.500 0.500  0.82

***

This record from the Alexandria database describes a relaxed PmNd6Th3 crystal. The functional is PBE-GGA.

Density of states at the Fermi level (states/eV/f.u.): 13.7
Symmetry: No. 11
Crystal system: monoclinic
Total energy (eV/atom): -5.398
ΔE_f (eV/atom): 0.1634

Cell: 5.748 11.604 14.989 Å, 134.78 90.00 90.00°
Fractional positions:
Pm: 0.250 0.291 0.962
Pm: 0.750 0.709 0.038
Nd: 0.250 0.440 0.544
Nd: 0.750 0.560 0.456
Nd: 0.250 0.965 0.153
Nd: 0.750 0.035 0.847
Nd: 0.250 0.903 0.657
Nd: 0.750 0.097 0.343
Nd: 0.250 0.726 0.191
Nd: 0.750 0.274 0.809
Nd: 0.250 0.522 0.838
Nd: 0.750 0.478 0.162
Nd: 0.250 0.299 0.213
Nd: 0.750 0.701 0.787
Th: 0.250 0.098 0.531
Th: 0.750 0.902 0.469
Th: 0.250 0.671 0.369
Th: 0.750 0.329 0.631
Th: 0.250 0.917 0.899
Th: 0.750 0.083 0.101